1.
Density functional theory data (PBE) for an optimized crystal structure of CaPtNO2.

Calculated values
Its total magnetic moment is 0.01 μB per atom. The uncorrected formation energy is -0.635 eV/atom. The value obtained for the raw total energy is -29.5 eV for the cell shown.

Unit cell a=4.240 b=4.240 c=3.689 alpha=90.00 beta=90.00 gamma=90.00
Element x y z (fractional)
Ca: 0.500 0.500 0.500
N: 0.000 0.000 0.500
O: 0.000 0.500 0.000
O: 0.500 0.000 0.000
Pt: 0.000 0.000 0.000

2.
Density functional theory data (PBE) for an optimized crystal structure of CaPuNO.

Calculated values
Its total magnetic moment is 1.25 μB per atom. The uncorrected formation energy is -1.976 eV/atom. The value obtained for the raw total energy is -37.5 eV for the cell shown.

Unit cell a=3.488 b=3.488 c=6.054 alpha=73.26 beta=73.26 gamma=60.00
Last column: magnetic moment on the atom in μB.
Element x y z (fractional)
N: 0.258 0.258 0.225  -0.17
Ca: 0.497 0.497 0.508  0.06
Pu: 0.995 0.995 0.015  4.93
O: 0.749 0.749 0.752  -0.08

3.
Density functional theory data (PBE) for an optimized crystal structure of RbCaNO2.

Calculated values
Its total magnetic moment is 0.53 μB per atom. The uncorrected formation energy is -0.236 eV/atom. The value obtained for the raw total energy is -22.4 eV for the cell shown.

Unit cell a=4.540 b=4.540 c=4.918 alpha=90.00 beta=90.00 gamma=90.00
Last column: magnetic moment on the atom in μB.
Element x y z (fractional)
Rb: 0.500 0.500 0.500  0.01
Ca: 0.000 0.000 0.000  0.01
N: 0.000 0.000 0.500  1.51
O: 0.500 0.000 0.000  0.15
O: 0.000 0.500 0.000  0.15

Please write out number 3 again, unchanged.
Density functional theory data (PBE) for an optimized crystal structure of RbCaNO2.

Calculated values
Its total magnetic moment is 0.53 μB per atom. The uncorrected formation energy is -0.236 eV/atom. The value obtained for the raw total energy is -22.4 eV for the cell shown.

Unit cell a=4.540 b=4.540 c=4.918 alpha=90.00 beta=90.00 gamma=90.00
Last column: magnetic moment on the atom in μB.
Element x y z (fractional)
Rb: 0.500 0.500 0.500  0.01
Ca: 0.000 0.000 0.000  0.01
N: 0.000 0.000 0.500  1.51
O: 0.500 0.000 0.000  0.15
O: 0.000 0.500 0.000  0.15